A plane-wave DFT calculation with GGA-PBE was carried out for a relaxed Be2OsPt crystal.

## Properties
volume	201.43	Å³ per cell
space-group type	F-43m, No. 216
calculated total energy	-5.960	eV per atom

Structure (POSCAR):
```
Be2OsPt
1.0
5.862 0.000 0.000
0.000 5.862 0.000
0.000 0.000 5.862
Be Os Pt
8 4 4
Direct
0.000 0.000 0.000
0.000 0.500 0.500
0.250 0.250 0.250
0.250 0.750 0.750
0.500 0.000 0.500
0.500 0.500 0.000
0.750 0.250 0.750
0.750 0.750 0.250
0.000 0.000 0.500
0.000 0.500 0.000
0.500 0.000 0.000
0.500 0.500 0.500
0.250 0.250 0.750
0.250 0.750 0.250
0.750 0.250 0.250
0.750 0.750 0.750
```